1:
Pa2TaSi after structural relaxation. Source: Alexandria via LeMat-Bulk, functional PBE-GGA.

For the density of states at the Fermi level, the calculation gives 1.553 states/eV per atom.

It has space group Fm-3m (No. 225), with a = 7.034 Å, b = 7.034 Å, c = 7.034 Å, α = 90.00°, β = 90.00° and γ = 90.00°. The asymmetric unit holds Pa at (0.250, 0.250, 0.250), Ta at (0.000, 0.000, 0.000) and Si at (0.000, 0.000, 0.500).

---

2:
Pa2TaSi after structural relaxation. Source: Alexandria via LeMat-Bulk, functional PBE-GGA.

For the density of states at the Fermi level, the calculation gives 1.439 states/eV per atom.

It has space group P4/mmm (No. 123), with a = 4.253 Å, b = 4.253 Å, c = 4.499 Å, α = 90.00°, β = 90.00° and γ = 90.00°. The asymmetric unit holds Pa at (0.000, 0.500, 0.000), Ta at (0.000, 0.000, 0.500) and Si at (0.500, 0.500, 0.500).

---

Quick one: least stable of them? 1

---

1:
Tb2PaSi after structural relaxation. Source: Alexandria via LeMat-Bulk, functional PBE-GGA.

For the density of states at the Fermi level, the calculation gives 1.254 states/eV per atom.

It has space group R-3m (No. 166, hexagonal axes), with a = 3.3241 Å, b = 3.3241 Å, c = 32.4807 Å, α = 90.00°, β = 90.00° and γ = 120.00°. The asymmetric unit holds Tb at (0.0000, 0.0000, 0.1000), Pa at (0.0000, 0.0000, 0.0000) and Si at (0.0000, 0.0000, 0.5000).

---

2:
Tb2PaSi after structural relaxation. Source: Alexandria via LeMat-Bulk, functional PBE-GGA.

For the density of states at the Fermi level, the calculation gives 1.230 states/eV per atom.

It has space group P4/mmm (No. 123), with a = 4.620 Å, b = 4.620 Å, c = 4.489 Å, α = 90.00°, β = 90.00° and γ = 90.00°. The asymmetric unit holds Tb at (0.000, 0.500, 0.000), Pa at (0.000, 0.000, 0.500) and Si at (0.500, 0.500, 0.500).

---

Quick one: least stable of them? 1

---

1:
PaSiTc2 after structural relaxation. Source: Alexandria via LeMat-Bulk, functional PBE-GGA.

For the density of states at the Fermi level, the calculation gives 1.197 states/eV per atom.

It has space group P4/mmm (No. 123), with a = 3.257 Å, b = 3.257 Å, c = 6.348 Å, α = 90.00°, β = 90.00° and γ = 90.00°. The asymmetric unit holds Pa at (0.000, 0.000, 0.000), Si at (0.000, 0.000, 0.500) and Tc at (0.500, 0.500, 0.284).

---

2:
PaSiTc2 after structural relaxation. Source: Alexandria via LeMat-Bulk, functional PBE-GGA.

For the density of states at the Fermi level, the calculation gives 1.363 states/eV per atom.

It has space group Fm-3m (No. 225), with a = 6.467 Å, b = 6.467 Å, c = 6.467 Å, α = 90.00°, β = 90.00° and γ = 90.00°. The asymmetric unit holds Pa at (0.000, 0.000, 0.000), Si at (0.000, 0.000, 0.500) and Tc at (0.250, 0.250, 0.250).

---

Quick one: least stable of them? 1

---

1:
PaSiTc2 after structural relaxation. Source: Alexandria via LeMat-Bulk, functional PBE-GGA.

For the density of states at the Fermi level, the calculation gives 0.715 states/eV per atom.

It has space group P4/mmm (No. 123), with a = 4.329 Å, b = 4.329 Å, c = 3.556 Å, α = 90.00°, β = 90.00° and γ = 90.00°. The asymmetric unit holds Pa at (0.000, 0.000, 0.000), Si at (0.500, 0.500, 0.000) and Tc at (0.000, 0.500, 0.500).

---

2:
PaSiTc2 after structural relaxation. Source: Alexandria via LeMat-Bulk, functional PBE-GGA.

For the density of states at the Fermi level, the calculation gives 1.178 states/eV per atom.

It has space group Pnma (No. 62), with a = 5.742 Å, b = 4.393 Å, c = 11.279 Å, α = 90.00°, β = 90.00° and γ = 90.00°. The asymmetric unit holds Pa at (0.128, 0.250, 0.116), Si at (0.003, 0.250, 0.572), Tc at (0.142, 0.250, 0.367) and Tc at (0.150, 0.250, 0.774).

---

Quick one: least stable of them? 2

---

1:
Pa2Si2Tc3 after structural relaxation. Source: Alexandria via LeMat-Bulk, functional PBE-GGA.

For the density of states at the Fermi level, the calculation gives 0.965 states/eV per atom.

It has space group C2/m (No. 12), with a = 10.341 Å, b = 4.155 Å, c = 6.133 Å, α = 90.00°, β = 106.37° and γ = 90.00°. The asymmetric unit holds Pa at (0.112, 0.000, 0.315), Si at (0.103, 0.500, 0.674), Tc at (0.000, 0.500, 0.000) and Tc at (0.195, 0.000, 0.897).

---

2:
Pa2Si2Tc3 after structural relaxation. Source: Alexandria via LeMat-Bulk, functional PBE-GGA.

For the density of states at the Fermi level, the calculation gives 0.801 states/eV per atom.

It has space group C2/m (No. 12), with a = 10.134 Å, b = 4.045 Å, c = 6.009 Å, α = 90.00°, β = 97.67° and γ = 90.00°. The asymmetric unit holds Pa at (0.080, 0.000, 0.229), Si at (0.148, 0.500, 0.891), Tc at (0.000, 0.500, 0.500) and Tc at (0.212, 0.000, 0.681).

---

Quick one: least stable of them? 2

---

1:
Pa2SiTc after structural relaxation. Source: Alexandria via LeMat-Bulk, functional PBE-GGA.

For the density of states at the Fermi level, the calculation gives 1.254 states/eV per atom.

It has space group R-3m (No. 166, hexagonal axes), with a = 4.5282 Å, b = 4.5282 Å, c = 14.2997 Å, α = 90.00°, β = 90.00° and γ = 120.00°. The asymmetric unit holds Pa at (0.0000, 0.0000, 0.2455), Si at (0.0000, 0.0000, 0.0000) and Tc at (0.0000, 0.0000, 0.5000).

---

2:
Pa2SiTc after structural relaxation. Source: Alexandria via LeMat-Bulk, functional PBE-GGA.

For the density of states at the Fermi level, the calculation gives 1.431 states/eV per atom.

It has space group Amm2 (No. 38), with a = 4.087 Å, b = 3.995 Å, c = 10.368 Å, α = 90.00°, β = 90.00° and γ = 90.00°. The asymmetric unit holds Pa at (0.000, 0.000, 0.000), Pa at (0.500, 0.000, 0.280), Si at (0.000, 0.000, 0.717) and Tc at (0.500, 0.000, 0.555).

---

3:
Pa2SiTc after structural relaxation. Source: Alexandria via LeMat-Bulk, functional PBE-GGA.

For the density of states at the Fermi level, the calculation gives 1.455 states/eV per atom.

It has space group P4/mmm (No. 123), with a = 4.292 Å, b = 4.292 Å, c = 4.209 Å, α = 90.00°, β = 90.00° and γ = 90.00°. The asymmetric unit holds Pa at (0.000, 0.500, 0.000), Si at (0.000, 0.000, 0.500) and Tc at (0.500, 0.500, 0.500).

---

4:
Pa2SiTc after structural relaxation. Source: Alexandria via LeMat-Bulk, functional PBE-GGA.

For the density of states at the Fermi level, the calculation gives 1.310 states/eV per atom.

It has space group P4/mmm (No. 123), with a = 3.657 Å, b = 3.657 Å, c = 6.041 Å, α = 90.00°, β = 90.00° and γ = 90.00°. The asymmetric unit holds Pa at (0.000, 0.000, 0.236), Si at (0.500, 0.500, 0.000) and Tc at (0.500, 0.500, 0.500).

---

Quick one: least stable of them? 1

---

1:
Pa2Si4Tc3 after structural relaxation. Source: Alexandria via LeMat-Bulk, functional PBE-GGA.

For the density of states at the Fermi level, the calculation gives 0.794 states/eV per atom.

It has space group P2_1/c (No. 14), with a = 6.835 Å, b = 6.737 Å, c = 6.950 Å, α = 90.00°, β = 110.76° and γ = 90.00°. The asymmetric unit holds Pa at (0.189, 0.164, 0.049), Si at (0.106, 0.563, 0.877), Si at (0.482, 0.651, 0.635), Tc at (0.238, 0.634, 0.259) and Tc at (0.500, 0.000, 0.500).

---

2:
Pa2Si4Tc3 after structural relaxation. Source: Alexandria via LeMat-Bulk, functional PBE-GGA.

For the density of states at the Fermi level, the calculation gives 1.296 states/eV per atom.

It has space group Fmmm (No. 69), with a = 5.235 Å, b = 9.834 Å, c = 12.045 Å, α = 90.00°, β = 90.00° and γ = 90.00°. The asymmetric unit holds Pa at (0.000, 0.000, 0.132), Si at (0.000, 0.175, 0.334), Tc at (0.000, 0.000, 0.500) and Tc at (0.250, 0.250, 0.000).

---

Quick one: least stable of them? 2

---

1:
Pa4SiTc after structural relaxation. Source: Alexandria via LeMat-Bulk, functional PBE-GGA.

For the density of states at the Fermi level, the calculation gives 1.858 states/eV per atom.

It has space group P4/mcc (No. 124), with a = 6.823 Å, b = 6.823 Å, c = 5.724 Å, α = 90.00°, β = 90.00° and γ = 90.00°. The asymmetric unit holds Pa at (0.145, 0.344, 0.000), Si at (0.500, 0.500, 0.250) and Tc at (0.000, 0.000, 0.250).

---

2:
Pa4SiTc after structural relaxation. Source: Alexandria via LeMat-Bulk, functional PBE-GGA.

For the density of states at the Fermi level, the calculation gives 1.821 states/eV per atom.

It has space group P-42c (No. 112), with a = 6.521 Å, b = 6.521 Å, c = 6.490 Å, α = 90.00°, β = 90.00° and γ = 90.00°. The asymmetric unit holds Pa at (0.185, 0.257, 0.354), Si at (0.500, 0.500, 0.000) and Tc at (0.000, 0.500, 0.750).

---

Quick one: least stable of them? 2